Record 1
! TbZr2MnN4 | the Alexandria database | PBE-GGA | optimized geometry; values from VASP
&SYSTEM
  ibrav = 0, nat = 16, ntyp = 4
/
ATOMIC_SPECIES
Tb 158.93 Tb.upf
Zr 91.22 Zr.upf
Mn 54.94 Mn.upf
N 14.01 N.upf
ATOMIC_POSITIONS crystal
Tb 0.110 0.890 0.750
Tb 0.890 0.110 0.250
Zr 0.368 0.632 0.548
Zr 0.368 0.632 0.952
Zr 0.632 0.368 0.048
Zr 0.632 0.368 0.452
Mn 0.154 0.846 0.250
Mn 0.846 0.154 0.750
N 0.000 0.000 0.000
N 0.000 0.000 0.500
N 0.269 0.731 0.122
N 0.269 0.731 0.378
N 0.437 0.563 0.750
N 0.563 0.437 0.250
N 0.731 0.269 0.622
N 0.731 0.269 0.878
CELL_PARAMETERS angstrom
1.618 -5.510 0.000
1.618 5.510 0.000
0.000 0.000 11.068
! * space group: Cmcm (63)
! * energy relative to the elements, uncorrected: -124.9 kJ per mole of atoms



Record 2
! Mn3TcN | the Alexandria database | PBE-GGA | optimized geometry; values from VASP
&SYSTEM
  ibrav = 0, nat = 5, ntyp = 3
/
ATOMIC_SPECIES
Mn 54.94 Mn.upf
Tc 98.00 Tc.upf
N 14.01 N.upf
ATOMIC_POSITIONS crystal
Mn 0.000 0.000 0.500
Mn 0.000 0.500 0.000
Mn 0.500 0.000 0.000
Tc 0.500 0.500 0.500
N 0.000 0.000 0.000
CELL_PARAMETERS angstrom
3.760 0.000 0.000
0.000 3.760 0.000
0.000 0.000 3.760
! * space group: Pm-3m (221)
! * offset from the most stable computed form: 0.0 meV per atom
! * energy relative to the elements, uncorrected: -7.2 kJ per mole of atoms



Record 3
! MnTcN2 | the Alexandria database | PBE-GGA | optimized geometry; values from VASP
&SYSTEM
  ibrav = 0, nat = 4, ntyp = 3
/
ATOMIC_SPECIES
Mn 54.94 Mn.upf
Tc 98.00 Tc.upf
N 14.01 N.upf
ATOMIC_POSITIONS crystal
Mn 0.000 0.000 0.000
Tc 0.500 0.500 0.500
N 0.250 0.250 0.250
N 0.750 0.750 0.750
CELL_PARAMETERS angstrom
0.000 2.586 2.586
2.586 0.000 2.586
2.586 2.586 0.000
! * space group: Fm-3m (225)
! * offset from the most stable computed form: 713.1 meV per atom
! * energy relative to the elements, uncorrected: 59.3 kJ per mole of atoms



Record 4
! MnTc2N | the Alexandria database | PBE-GGA | optimized geometry; values from VASP
&SYSTEM
  ibrav = 0, nat = 8, ntyp = 3
/
ATOMIC_SPECIES
Mn 54.94 Mn.upf
Tc 98.00 Tc.upf
N 14.01 N.upf
ATOMIC_POSITIONS crystal
Mn 0.000 0.000 0.000
Mn 0.750 0.250 0.500
Tc 0.179 0.625 0.054
Tc 0.375 0.429 0.554
Tc 0.571 0.125 0.946
Tc 0.875 0.821 0.446
N 0.250 0.750 0.500
N 0.500 0.500 0.000
CELL_PARAMETERS angstrom
-2.466 2.466 4.764
2.466 -2.466 4.764
2.466 2.466 -4.764
! * space group: I-42d (122)
! * energy relative to the elements, uncorrected: 43.2 kJ per mole of atoms



Record 5
! Mn2TcN | the Alexandria database | PBE-GGA | optimized geometry; values from VASP
&SYSTEM
  ibrav = 0, nat = 4, ntyp = 3
/
ATOMIC_SPECIES
Mn 54.94 Mn.upf
Tc 98.00 Tc.upf
N 14.01 N.upf
ATOMIC_POSITIONS crystal
Mn 0.000 0.000 0.000
Mn 0.218 0.218 0.218
Tc 0.773 0.773 0.773
N 0.611 0.611 0.611
CELL_PARAMETERS angstrom
1.384 0.799 6.494
-1.384 0.799 6.494
0.000 -1.598 6.494
! * space group: R3m (160)
! * energy relative to the elements, uncorrected: -13.6 kJ per mole of atoms



Record 6
! MnTcN | the Alexandria database | PBE-GGA | optimized geometry; values from VASP
&SYSTEM
  ibrav = 0, nat = 12, ntyp = 3
/
ATOMIC_SPECIES
Mn 54.94 Mn.upf
Tc 98.00 Tc.upf
N 14.01 N.upf
ATOMIC_POSITIONS crystal
Mn 0.046 0.250 0.128
Mn 0.454 0.750 0.628
Mn 0.546 0.250 0.372
Mn 0.954 0.750 0.872
Tc 0.156 0.250 0.654
Tc 0.344 0.750 0.154
Tc 0.656 0.250 0.846
Tc 0.844 0.750 0.346
N 0.128 0.750 0.579
N 0.372 0.250 0.079
N 0.628 0.750 0.921
N 0.872 0.250 0.421
CELL_PARAMETERS angstrom
5.634 0.000 0.000
0.000 4.100 0.000
0.000 0.000 5.499
! * space group: Pnma (62)
! * offset from the most stable computed form: 0.0 meV per atom
! * energy relative to the elements, uncorrected: 1.2 kJ per mole of atoms